Entry 1:
PaZnPd3 | PBE | relaxed

Values from the calculation:
For the energy of formation from the pure elements, the calculation gives -2.5 eV/f.u. The value obtained for the density of states at the Fermi level is 4.0 states/eV/f.u.

Cell: 8.2320 9.8819 4.4681 Å, 90.00 90.00 90.00°
Space group Ama2 (No. 40)
One atom of each set of equivalent atoms:
Pa 0.0000 0.0000 0.0000 x4
Zn 0.2500 0.2261 0.1339 x4
Pd 0.0783 0.1977 0.6213 x8
Pd 0.2500 0.4601 0.9198 x4

***

Entry 2:
PaZnPd | PBE | relaxed

Values from the calculation:
For the energy of formation from the pure elements, the calculation gives -1.3 eV/f.u. The value obtained for the density of states at the Fermi level is 3.2 states/eV/f.u.

Cell: 4.5897 4.5897 3.1533 Å, 90.00 90.00 120.00°
Space group P-6m2 (No. 187)
One atom of each set of equivalent atoms:
Pa 0.0000 0.0000 0.0000 x1
Zn 0.3333 0.6667 0.5000 x1
Pd 0.6667 0.3333 0.5000 x1

***

Entry 3:
Pa2Zn12Pd5 | PBE | relaxed

Values from the calculation:
For the energy of formation from the pure elements, the calculation gives -5.6 eV/f.u. The value obtained for the density of states at the Fermi level is 15.1 states/eV/f.u.

Cell: 9.1359 9.1359 12.9684 Å, 90.00 90.00 120.00°
Space group R-3m (No. 166, hexagonal axes)
One atom of each set of equivalent atoms:
Pa 0.0000 0.0000 0.1744 x6
Zn 0.0000 0.2931 0.5000 x18
Zn 0.0131 0.5065 0.6516 x18
Pd 0.0000 0.0000 0.3897 x6
Pd 0.0000 0.5000 0.0000 x9

***

Entry 4:
PaZn5Pd6 | PBE | relaxed

Values from the calculation:
For the energy of formation from the pure elements, the calculation gives -6.0 eV/f.u. The value obtained for the density of states at the Fermi level is 6.8 states/eV/f.u.

Cell: 4.1475 12.3667 7.4024 Å, 90.00 90.00 90.00°
Space group Cmmm (No. 65)
One atom of each set of equivalent atoms:
Pa 0.0000 0.0000 0.0000 x2
Zn 0.0000 0.0000 0.5000 x2
Zn 0.0000 0.3165 0.0000 x4
Zn 0.0000 0.3376 0.5000 x4
Pd 0.0000 0.1684 0.2623 x8
Pd 0.0000 0.5000 0.2606 x4

***

Entry 5:
Pa2Zn5Pd | PBE | relaxed

Values from the calculation:
For the energy of formation from the pure elements, the calculation gives -1.4 eV/f.u. The value obtained for the density of states at the Fermi level is 7.2 states/eV/f.u.

Cell: 4.1838 16.1203 8.8738 Å, 90.00 90.00 90.00°
Space group Cmcm (No. 63)
One atom of each set of equivalent atoms:
Pa 0.0000 0.0000 0.0000 x4
Pa 0.0000 0.1962 0.2500 x4
Zn 0.0000 0.1891 0.6078 x8
Zn 0.0000 0.3489 0.5217 x8
Zn 0.0000 0.3967 0.2500 x4
Pd 0.0000 0.4464 0.7500 x4

***

Entry 6:
PaZnPd14 | PBE | relaxed

Values from the calculation:
For the energy of formation from the pure elements, the calculation gives -5.4 eV/f.u. The value obtained for the density of states at the Fermi level is 20.7 states/eV/f.u.

Cell: 5.7360 5.7360 7.7426 Å, 90.00 90.00 90.00°
Space group P4/mmm (No. 123)
One atom of each set of equivalent atoms:
Pa 0.0000 0.0000 0.0000 x1
Zn 0.5000 0.5000 0.0000 x1
Pd 0.0000 0.0000 0.5000 x1
Pd 0.0000 0.5000 0.0000 x2
Pd 0.0000 0.5000 0.5000 x2
Pd 0.2517 0.2517 0.2483 x8
Pd 0.5000 0.5000 0.5000 x1

***

Entry 7:
Pa2Zn15Pd2 | PBE | relaxed

Values from the calculation:
For the energy of formation from the pure elements, the calculation gives -4.1 eV/f.u. The value obtained for the density of states at the Fermi level is 11.1 states/eV/f.u.

Cell: 8.9807 8.9807 13.0824 Å, 90.00 90.00 120.00°
Space group R-3m (No. 166, hexagonal axes)
One atom of each set of equivalent atoms:
Pa 0.0000 0.0000 0.1600 x6
Zn 0.0000 0.2887 0.5000 x18
Zn 0.0000 0.5000 0.0000 x9
Zn 0.0088 0.5044 0.6502 x18
Pd 0.0000 0.0000 0.3841 x6

***

Entry 8:
PaZn2Pd2 | PBE | relaxed

Values from the calculation:
For the energy of formation from the pure elements, the calculation gives -2.0 eV/f.u. The value obtained for the density of states at the Fermi level is 4.8 states/eV/f.u.

Cell: 3.2046 4.5655 12.1582 Å, 90.00 90.00 90.00°
Space group Pmmn (No. 59, origin choice 2)
One atom of each set of equivalent atoms:
Pa 0.2500 0.2500 0.2483 x2
Zn 0.2500 0.2500 0.6324 x2
Zn 0.2500 0.7500 0.9806 x2
Pd 0.2500 0.2500 0.8466 x2
Pd 0.2500 0.7500 0.5385 x2

***

Entry 9:
PaZn17Pd | PBE | relaxed

Values from the calculation:
For the energy of formation from the pure elements, the calculation gives -1.5 eV/f.u. The value obtained for the density of states at the Fermi level is 9.1 states/eV/f.u.

Cell: 8.9819 8.9819 13.2428 Å, 90.00 90.00 120.00°
Space group R3m (No. 160, hexagonal axes)
One atom of each set of equivalent atoms:
Pa 0.0000 0.0000 0.0000 x3
Zn 0.0000 0.0000 0.5572 x3
Zn 0.0000 0.0000 0.7600 x3
Zn 0.9997 0.4998 0.5062 x9
Zn 0.9995 0.4998 0.8132 x9
Zn 0.0288 0.3514 0.3280 x18
Zn 0.1699 0.3398 0.4998 x9
Pd 0.0000 0.0000 0.2130 x3

***

Entry 10:
PaZnPd5 | PBE | relaxed

Values from the calculation:
For the energy of formation from the pure elements, the calculation gives 0.9 eV/f.u. The value obtained for the density of states at the Fermi level is 4.3 states/eV/f.u.

Cell: 5.2718 9.0704 7.2087 Å, 90.00 90.00 90.00°
Space group Imm2 (No. 44)
One atom of each set of equivalent atoms:
Pa 0.0000 0.0000 0.0000 x2
Zn 0.0000 0.5000 0.1347 x2
Pd 0.0000 0.0000 0.6352 x2
Pd 0.0000 0.2454 0.8515 x4
Pd 0.2504 0.0000 0.3048 x4

***

Entry 11:
Pa2ZnPd9 | PBE | relaxed

Values from the calculation:
For the energy of formation from the pure elements, the calculation gives -8.3 eV/f.u. The value obtained for the density of states at the Fermi level is 3.0 states/eV/f.u.

Cell: 4.1141 4.1141 11.9925 Å, 90.00 90.00 90.00°
Space group P4/mmm (No. 123)
One atom of each set of equivalent atoms:
Pa 0.0000 0.0000 0.1789 x2
Zn 0.0000 0.0000 0.5000 x1
Pd 0.0000 0.5000 0.0000 x2
Pd 0.0000 0.5000 0.3395 x4
Pd 0.5000 0.5000 0.1696 x2
Pd 0.5000 0.5000 0.5000 x1

***

Entry 12:
Pa3Zn4Pd4 | PBE | relaxed

Values from the calculation:
For the energy of formation from the pure elements, the calculation gives -4.7 eV/f.u. The value obtained for the density of states at the Fermi level is 11.2 states/eV/f.u.

Cell: 3.1860 4.4791 14.5674 Å, 98.84 96.27 90.00°
Space group P-1 (No. 2)
One atom of each set of equivalent atoms:
Pa 0.0000 0.0000 0.0000 x1
Pa 0.1421 0.6413 0.2837 x2
Zn 0.2596 0.2594 0.5184 x2
Zn 0.4058 0.9071 0.8129 x2
Pd 0.3150 0.8156 0.6304 x2
Pd 0.4511 0.4519 0.9027 x2

***

- Which of these has the lowest energy of formation from the pure elements?
  Pa2ZnPd9